1.
This record from Alexandria via LeMat-Bulk describes crystalline Cs2Li2TbCl6 at its relaxed geometry. The functional is PBE-GGA.

Unit cell a=7.262 b=7.262 c=7.958 alpha=90.00 beta=90.00 gamma=120.00
Element x y z (fractional)
Cs  0.333  0.667  0.372
Cs  0.667  0.333  0.628
Li  0.333  0.667  0.874
Li  0.667  0.333  0.126
Tb  0.000  0.000  0.000
Cl  0.160  0.324  0.771
Cl  0.164  0.840  0.771
Cl  0.324  0.164  0.229
Cl  0.676  0.836  0.771
Cl  0.836  0.160  0.229
Cl  0.840  0.676  0.229

Results
ΔE_f (raw) in kJ per mole of atoms: -173
DFT total energy in eV per formula unit: -41.0
SG: No. 147
Total magnetic moment in μB per formula unit: 0.43


2.
This record from Alexandria via LeMat-Bulk describes crystalline PmBe17Tc at its relaxed geometry. The functional is PBE-GGA.

Unit cell a=5.685 b=5.685 c=5.685 alpha=82.98 beta=82.98 gamma=82.98
Element x y z (fractional)
Pm  0.000  0.000  0.000
Be  0.010  0.010  0.495
Be  0.010  0.495  0.010
Be  0.160  0.659  0.659
Be  0.323  0.323  0.801
Be  0.323  0.801  0.323
Be  0.375  0.652  0.953
Be  0.375  0.953  0.652
Be  0.495  0.010  0.010
Be  0.559  0.559  0.559
Be  0.652  0.375  0.953
Be  0.652  0.953  0.375
Be  0.659  0.160  0.659
Be  0.659  0.659  0.160
Be  0.749  0.749  0.749
Be  0.801  0.323  0.323
Be  0.953  0.375  0.652
Be  0.953  0.652  0.375
Tc  0.334  0.334  0.334

Results
Formation enthalpy at 0 K in kJ per mole of atoms: -7
DFT total energy in eV per formula unit: -79.8
SG: No. 160
Total magnetic moment in μB per formula unit: 0.00